The following is a DFT calculation (PBE with a Hubbard U) of an optimized crystal structure of Li4NiO3.

Results
V in Å³ per cell: 162.7
Total energy in eV/atom: -4.70
Crystal system: monoclinic
Space-group type: Cc (9)

Lattice parameters (Å, degrees): 5.5958 5.5958 6.8777 108.70 108.70 54.09
Fractional coordinates of all 16 atoms:
Li: 0.0318 0.6001 0.0944
Li: 0.0930 0.4008 0.4008
Li: 0.1486 0.8514 0.5000
Li: 0.2391 0.5478 0.7889
Li: 0.4008 0.0930 0.9008
Li: 0.5478 0.2391 0.2889
Li: 0.6001 0.0318 0.5944
Li: 0.8514 0.1486 0.0000
Ni: 0.4829 0.7831 0.1905
Ni: 0.7831 0.4829 0.6905
O: 0.1690 0.1951 0.6202
O: 0.1951 0.1690 0.1202
O: 0.4489 0.4599 0.5692
O: 0.4599 0.4489 0.0692
O: 0.8157 0.8159 0.3391
O: 0.8159 0.8157 0.8391